First-principles (PBE) data for a relaxed CeMgSc2 crystal, as listed in Alexandria.

```
CeMgSc2
1.0
1.6392 0.9464 10.6683
-1.6392 0.9464 10.6683
0.0000 -1.8928 10.6683
Ce Mg Sc
1 1 2
Direct
0.0000 0.0000 0.0000
0.5000 0.5000 0.5000
0.2492 0.2492 0.2492
0.7508 0.7508 0.7508
```

Values from the calculation:
formation enthalpy at 0 K	31	meV/atom
polymorph energy (0 for the lowest one)	12	meV/atom
magnetic moment	0.04	μB/f.u.